a) Density functional theory data (PBEsol) for a geometry-optimized NiRh2Au structure.

POSCAR file:
```
NiRh2Au
1.0
2.7228 0.0000 0.0000
0.0000 2.7228 0.0000
0.0000 0.0000 7.3377
Rh Ni Au
2 1 1
Direct
0.0000 0.0000 0.7195
0.0000 0.0000 0.2805
0.5000 0.5000 0.5000
0.5000 0.5000 0.0000
```

**Theoretical density**: 14.09 Mg/m³
**M_tot**: 0.0 μB/f.u.

b) Density functional theory data (PBEsol) for a geometry-optimized NiRh2Au structure.

POSCAR file:
```
NiRh2Au
1.0
-2.6502 -0.3284 -0.6493
-0.7514 -1.8948 4.0253
0.7848 5.1154 0.0257
Ni Rh Au
1 2 1
Direct
0.2573 0.7573 0.5145
0.9908 0.9908 0.9816
0.7414 0.2414 0.4827
0.5106 0.5106 0.0212
```

**Theoretical density**: 13.89 Mg/m³
**M_tot**: 0.0 μB/f.u.

Energy above the most stable structure, in eV/atom: a) 0.000; b) 0.109